{"formula": "Pm5Te2Se4", "functional": "PBE", "state": "optimized geometry", "n_ef_per_ev_atom": 0.4663, "vol_a3_per_cell": 363.1, "total_magnetization_mub_per_fu": 0.00, "e_form_raw_ev_per_atom": -1.541, "lattice_angstrom": [[2.352, 1.358, 18.951], [-2.352, 1.358, 18.951], [0.000, -2.715, 18.951]], "species": ["Pm", "Pm", "Pm", "Pm", "Pm", "Te", "Te", "Se", "Se", "Se", "Se"], "frac_coords": [[0.000, 0.000, 0.000], [0.134, 0.134, 0.134], [0.275, 0.275, 0.275], [0.725, 0.725, 0.725], [0.866, 0.866, 0.866], [0.363, 0.363, 0.363], [0.637, 0.637, 0.637], [0.084, 0.084, 0.084], [0.189, 0.189, 0.189], [0.811, 0.811, 0.811], [0.916, 0.916, 0.916]]}

=====

{"formula": "PmThTeSe", "functional": "PBE", "state": "optimized geometry", "n_ef_per_ev_atom": 1.0141, "vol_a3_per_cell": 105.4, "total_magnetization_mub_per_fu": 0.00, "e_form_raw_ev_per_atom": -1.305, "lattice_angstrom": [[0.000, 3.750, 3.750], [3.750, 0.000, 3.750], [3.750, 3.750, 0.000]], "species": ["Pm", "Th", "Te", "Se"], "frac_coords": [[0.000, 0.000, 0.000], [0.500, 0.500, 0.500], [0.250, 0.250, 0.250], [0.750, 0.750, 0.750]]}

=====

{"formula": "PmThTeSe", "functional": "PBE", "state": "optimized geometry", "n_ef_per_ev_atom": 0.9446, "vol_a3_per_cell": 115.7, "total_magnetization_mub_per_fu": 0.00, "e_form_raw_ev_per_atom": -1.439, "lattice_angstrom": [[3.588, -2.069, 0.000], [3.588, 2.069, 0.000], [-2.398, 0.000, 7.789]], "species": ["Pm", "Th", "Te", "Se"], "frac_coords": [[0.000, 0.000, 0.000], [0.817, 0.817, 0.451], [0.577, 0.577, 0.730], [0.407, 0.407, 0.221]]}

=====

{"formula": "Pm6TlTe3Se2", "functional": "PBE", "state": "optimized geometry", "n_ef_per_ev_atom": 0.4671, "vol_a3_per_cell": 359.0, "total_magnetization_mub_per_fu": 0.00, "e_form_raw_ev_per_atom": -1.382, "lattice_angstrom": [[9.634, -2.154, 0.000], [9.634, 2.154, 0.000], [-2.255, 0.000, 8.651]], "species": ["Pm", "Pm", "Pm", "Pm", "Pm", "Pm", "Tl", "Te", "Te", "Te", "Se", "Se"], "frac_coords": [[0.007, 0.007, 0.251], [0.327, 0.327, 0.433], [0.334, 0.334, 0.900], [0.666, 0.666, 0.100], [0.673, 0.673, 0.567], [0.993, 0.993, 0.749], [0.500, 0.500, 0.000], [0.165, 0.165, 0.830], [0.500, 0.500, 0.500], [0.835, 0.835, 0.170], [0.168, 0.168, 0.334], [0.832, 0.832, 0.666]]}

=====

{"formula": "Pm6TlTe2Se3", "functional": "PBE", "state": "optimized geometry", "n_ef_per_ev_atom": 0.4674, "vol_a3_per_cell": 347.3, "total_magnetization_mub_per_fu": 0.00, "e_form_raw_ev_per_atom": -1.450, "lattice_angstrom": [[9.496, -2.123, 0.000], [9.496, 2.123, 0.000], [-2.071, 0.000, 8.612]], "species": ["Pm", "Pm", "Pm", "Pm", "Pm", "Pm", "Tl", "Te", "Te", "Se", "Se", "Se"], "frac_coords": [[0.004, 0.004, 0.240], [0.331, 0.331, 0.432], [0.341, 0.341, 0.900], [0.659, 0.659, 0.100], [0.669, 0.669, 0.568], [0.996, 0.996, 0.760], [0.500, 0.500, 0.500], [0.169, 0.169, 0.838], [0.831, 0.831, 0.162], [0.169, 0.169, 0.335], [0.500, 0.500, 0.000], [0.831, 0.831, 0.665]]}

=====

{"formula": "Pm6Tl2Te3Se", "functional": "PBE", "state": "optimized geometry", "n_ef_per_ev_atom": 0.3327, "vol_a3_per_cell": 371.7, "total_magnetization_mub_per_fu": 0.00, "e_form_raw_ev_per_atom": -1.132, "lattice_angstrom": [[9.722, -2.158, 0.000], [9.722, 2.158, 0.000], [-2.239, 0.000, 8.858]], "species": ["Pm", "Pm", "Pm", "Pm", "Pm", "Pm", "Tl", "Tl", "Te", "Te", "Te", "Se"], "frac_coords": [[0.002, 0.002, 0.236], [0.334, 0.334, 0.417], [0.339, 0.339, 0.918], [0.661, 0.661, 0.082], [0.666, 0.666, 0.583], [0.998, 0.998, 0.764], [0.167, 0.167, 0.333], [0.833, 0.833, 0.667], [0.166, 0.166, 0.835], [0.500, 0.500, 0.500], [0.834, 0.834, 0.165], [0.500, 0.500, 0.000]]}

=====

{"formula": "Pm4TlTeSe2", "functional": "PBE", "state": "optimized geometry", "n_ef_per_ev_atom": 0.4225, "vol_a3_per_cell": 231.9, "total_magnetization_mub_per_fu": 0.00, "e_form_raw_ev_per_atom": -1.357, "lattice_angstrom": [[7.567, 0.000, 0.000], [0.000, 4.251, 0.000], [-2.398, 0.000, 7.210]], "species": ["Pm", "Pm", "Pm", "Pm", "Tl", "Te", "Se", "Se"], "frac_coords": [[0.238, 0.000, 0.231], [0.256, 0.500, 0.767], [0.744, 0.500, 0.233], [0.762, 0.000, 0.769], [0.000, 0.000, 0.500], [0.500, 0.500, 0.500], [0.000, 0.500, 0.000], [0.500, 0.000, 0.000]]}

=====

{"formula": "Pm8TlTe4Se3", "functional": "PBE", "state": "optimized geometry", "n_ef_per_ev_atom": 0.5004, "vol_a3_per_cell": 474.8, "total_magnetization_mub_per_fu": 0.00, "e_form_raw_ev_per_atom": -1.457, "lattice_angstrom": [[7.529, -4.347, 0.000], [7.529, 4.347, 0.000], [-5.019, 0.000, 7.255]], "species": ["Pm", "Pm", "Pm", "Pm", "Pm", "Pm", "Pm", "Pm", "Tl", "Te", "Te", "Te", "Te", "Se", "Se", "Se"], "frac_coords": [[0.237, 0.747, 0.730], [0.239, 0.239, 0.719], [0.253, 0.763, 0.270], [0.254, 0.254, 0.271], [0.746, 0.746, 0.729], [0.747, 0.237, 0.730], [0.761, 0.761, 0.281], [0.763, 0.253, 0.270], [0.500, 0.500, 0.500], [0.000, 0.000, 0.000], [0.000, 0.500, 0.000], [0.500, 0.000, 0.000], [0.500, 0.500, 0.000], [0.000, 0.000, 0.500], [0.000, 0.500, 0.500], [0.500, 0.000, 0.500]]}